The following is a DFT calculation (PBE) of an optimized crystal structure of TaZn2.

Output
space-group type	P6_3/mmc, No. 194
formation energy from the elements	-0.232	eV per formula unit
DFT total energy	-4.878	eV per atom

abc: 5.0610 5.0610 8.1066
angles: 90.00 90.00 60.00
Atoms (fractional coordinates):
Zn: 0.0000 0.0000 0.0000
Zn: 0.8272 0.8272 0.7500
Ta: 0.3333 0.3333 0.5687
Zn: 0.1728 0.1728 0.2500
Zn: 0.3455 0.8272 0.7500
Ta: 0.6667 0.6667 0.4313
Zn: 0.1728 0.6545 0.2500
Ta: 0.3333 0.3333 0.9313
Zn: 0.6545 0.1728 0.2500
Zn: 0.0000 0.0000 0.5000
Zn: 0.8272 0.3455 0.7500
Ta: 0.6667 0.6667 0.0687



The following is a DFT calculation (PBE) of an optimized crystal structure of YMgNi2.

Output
space-group type	P2/m, No. 10
formation energy from the elements	-0.949	eV per formula unit
DFT total energy	-5.143	eV per atom

abc: 3.2722 3.2982 7.0972
angles: 62.24 90.00 90.00
Atoms (fractional coordinates):
Mg: 0.5000 0.7500 0.7500
Ni: 0.0000 0.0316 0.9689
Y: 0.5000 0.2500 0.2500
Ni: 0.0000 0.4684 0.5311



The following is a DFT calculation (PBE) of an optimized crystal structure of ScSBr2.

Output
energy above the lowest structure with this stoichiometry	0	meV/atom
space-group type	I-42d, No. 122
ΔE_f (raw)	-1077	meV per atom
DFT total energy	-4.529	eV per atom

abc: 9.9023 9.9023 7.4275
angles: 48.20 48.20 90.00
Last column: magnetic moment on the atom in μB.
Atoms (fractional coordinates):
Br: 0.3750 0.2193 0.7500  0.13
Sc: 0.0000 0.0000 0.0000  -0.01
Br: 0.9693 0.6250 0.2500  0.13
Br: 0.8750 0.0307 0.7500  0.12
S: 0.5000 0.5000 0.0000  0.42
Sc: 0.7500 0.2500 0.5000  -0.01
S: 0.2500 0.7500 0.5000  0.41
Br: 0.7807 0.1250 0.2500  0.13



The following is a DFT calculation (PBE) of an optimized crystal structure of TlGaO2.

Output
energy above the lowest structure with this stoichiometry	186	meV/atom
space-group type	P3m1, No. 156
ΔE_f (raw)	-1220	meV per atom
DFT total energy	-5.047	eV per atom

abc: 3.2758 3.2758 7.6462
angles: 90.00 90.00 120.00
Atoms (fractional coordinates):
Ga: 0.3333 0.6667 0.4651
O: 0.6667 0.3333 0.3874
Tl: 0.0000 0.0000 0.9025
O: 0.3333 0.6667 0.7000



The following is a DFT calculation (PBE) of an optimized crystal structure of CsReAg2Ge.

Output
space-group type	P4/mmm, No. 123
formation energy from the elements	12.967	eV per formula unit
DFT total energy	-2.131	eV per atom

abc: 5.6081 5.6081 5.3759
angles: 90.00 90.00 90.00
Last column: magnetic moment on the atom in μB.
Atoms (fractional coordinates):
Re: 0.0000 0.0000 0.5000  2.34
Ge: 0.5000 0.5000 0.5000  -0.13
Cs: 0.0000 0.0000 0.0000  -0.01
Ag: 0.5000 0.0000 0.0000  -0.01
Ag: 0.0000 0.5000 0.0000  -0.01



The following is a DFT calculation (PBE) of an optimized crystal structure of La2ScAs.

Output
space-group type	P4/mmm, No. 123
formation energy from the elements	-2.156	eV per formula unit
DFT total energy	-5.748	eV per atom

abc: 4.0120 4.0120 7.0299
angles: 90.00 90.00 89.97
Atoms (fractional coordinates):
Sc: 0.5000 0.5000 0.2500
La: 0.0000 0.0000 0.5297
La: 0.0000 0.0000 0.9703
As: 0.5000 0.5000 0.7500



The following is a DFT calculation (PBE) of an optimized crystal structure of LiMg2Tc.

Output
energy above the lowest structure with this stoichiometry	67	meV/atom
space-group type	R3m, No. 160
formation energy from the elements	0.908	eV per formula unit
DFT total energy	-3.640	eV per atom

abc: 10.0221 10.0221 10.0221
angles: 16.52 16.52 16.52
Atoms (fractional coordinates):
Mg: 0.0014 0.0014 0.0014
Li: 0.7576 0.7576 0.7576
Mg: 0.2417 0.2417 0.2417
Tc: 0.4993 0.4993 0.4993



The following is a DFT calculation (PBE) of an optimized crystal structure of Rb3Ce3GaS8.

Output
space-group type	C2/m, No. 12
ΔE_f (raw)	-1481	meV per atom
DFT total energy	-5.265	eV per atom

abc: 8.1220 8.1686 7.8985
angles: 88.48 90.00 119.81
Last column: magnetic moment on the atom in μB.
Atoms (fractional coordinates):
S: 0.8517 0.1632 0.3263  -0.01
Ce: 0.5000 0.5000 0.5000  0.53
Rb: 0.5000 0.5000 0.0000  0.00
Ce: 0.5000 0.0000 0.5000  0.61
S: 0.1665 0.3330 0.6940  -0.01
S: 0.6885 0.8368 0.6737  -0.01
S: 0.3359 0.6718 0.3091  -0.02
Rb: 0.0000 0.5000 0.0000  0.00
S: 0.1483 0.8368 0.6737  -0.01
Rb: 0.0000 0.0000 0.0000  0.00
Ga: 0.0000 0.0000 0.5000  0.04
S: 0.8335 0.6670 0.3060  -0.01
S: 0.3115 0.1632 0.3263  -0.01
Ce: 0.0000 0.5000 0.5000  0.53
S: 0.6641 0.3282 0.6909  -0.02